Computed, not measured: a relaxed La3ErPa2N6 crystal at the PBE level of DFT.

E_tot: -107.3 eV/cell
DOS at the Fermi energy: 0.4782 states/eV/atom
Uncorrected formation energy: -1586 meV per atom
Space-group type: C2/m, No. 12
M_tot: 0.0 Bohr magnetons per cell

abc: 6.173 6.173 6.344
angles: 99.32 99.32 120.02
Atoms (fractional coordinates):
La 0.166 0.834 0.500
La 0.500 0.500 0.500
La 0.834 0.166 0.500
Er 0.000 0.000 0.000
N 0.069 0.413 0.207
N 0.725 0.725 0.206
N 0.275 0.275 0.794
N 0.587 0.931 0.793
N 0.413 0.069 0.207
N 0.931 0.587 0.793
Pa 0.333 0.667 0.000
Pa 0.667 0.333 0.000